The following is a PBE calculation of a relaxed FeOs crystal, from the Alexandria database.

D(E_F): 2.6 states/eV/f.u.
Electronic total energy: -289.97 eV for the cell shown
Spin magnetization: 1.53 μB/f.u.
Calculated volume: 13.78 Å³/atom
SG: Fddd, No. 70
Formation energy: 785 meV per atom

Geometry as POSCAR:
```
FeOs
1.0
-1.393 2.280 -6.245
-5.265 -4.867 -0.602
-5.864 5.915 3.468
Os Fe
16 16
Direct
0.750 0.425 0.750 Os
0.000 0.825 0.500 Os
0.500 0.325 0.500 Os
0.750 0.925 0.250 Os
0.000 0.325 0.000 Os
0.000 0.175 0.500 Os
0.250 0.075 0.250 Os
0.750 0.075 0.750 Os
0.250 0.925 0.750 Os
0.500 0.175 0.000 Os
0.500 0.675 0.500 Os
0.750 0.575 0.250 Os
0.000 0.675 0.000 Os
0.250 0.425 0.250 Os
0.500 0.825 0.000 Os
0.250 0.575 0.750 Os
0.414 0.750 0.250 Fe
0.914 0.250 0.250 Fe
0.164 0.000 0.000 Fe
0.836 0.500 0.500 Fe
0.836 0.000 0.000 Fe
0.086 0.250 0.750 Fe
0.414 0.250 0.750 Fe
0.914 0.750 0.750 Fe
0.336 0.500 0.000 Fe
0.586 0.250 0.250 Fe
0.164 0.500 0.500 Fe
0.664 0.500 0.000 Fe
0.336 0.000 0.500 Fe
0.664 0.000 0.500 Fe
0.086 0.750 0.250 Fe
0.586 0.750 0.750 Fe
```

The following is a PBE calculation of a relaxed Cs2InAs2Pb crystal, from the Alexandria database.

D(E_F): 1.9 states/eV/f.u.
Electronic total energy: -38.60 eV for the cell shown
Spin magnetization: 0.00 μB/f.u.
Calculated volume: 37.88 Å³/atom
SG: Ibam, No. 72
Formation energy: -308 meV per atom

Geometry as POSCAR:
```
Cs2InAs2Pb
1.0
-6.985 2.090 1.418
-1.500 0.055 -7.471
2.016 -8.779 3.417
In Cs As Pb
2 4 4 2
Direct
0.250 0.500 0.000 In
0.750 0.500 0.000 In
0.676 0.913 0.352 Cs
0.176 0.439 0.352 Cs
0.824 0.561 0.648 Cs
0.324 0.087 0.648 Cs
0.417 0.650 0.835 As
0.583 0.350 0.165 As
0.917 0.185 0.835 As
0.083 0.815 0.165 As
0.750 0.000 0.000 Pb
0.250 0.000 0.000 Pb
```

The following is a PBE calculation of a relaxed ScMo4Ir crystal, from the Alexandria database.

D(E_F): 7.2 states/eV/f.u.
Electronic total energy: -57.81 eV for the cell shown
Spin magnetization: 0.00 μB/f.u.
Calculated volume: 16.95 Å³/atom
SG: F-43m, No. 216
Formation energy: 117 meV per atom

Geometry as POSCAR:
```
ScMo4Ir
1.0
-1.810 -4.909 -0.288
-1.875 -2.357 4.287
-5.137 -0.929 0.444
Mo Sc Ir
4 1 1
Direct
0.870 0.377 0.377 Mo
0.377 0.870 0.377 Mo
0.377 0.377 0.377 Mo
0.377 0.377 0.870 Mo
0.750 0.750 0.750 Sc
0.000 0.000 0.000 Ir
```

The following is a PBE calculation of a relaxed YCuSe2 crystal, from the Alexandria database.

D(E_F): 0.0 states/eV/f.u.
Electronic total energy: -22.04 eV for the cell shown
ΔE_f (raw): -1.13 eV per atom
Spin magnetization: 0.00 μB/f.u.
Calculated volume: 29.62 Å³/atom
SG: R-3m, No. 166

Geometry as POSCAR:
```
YCuSe2
1.0
2.464 0.000 7.510
-1.232 2.134 7.510
-1.232 -2.134 7.510
Y Se Cu
1 2 1
Direct
0.500 0.500 0.500 Y
0.100 0.100 0.100 Se
0.900 0.900 0.900 Se
0.000 0.000 0.000 Cu
```

The following is a PBE calculation of a relaxed AgAsOs2 crystal, from the Alexandria database.

D(E_F): 3.9 states/eV/f.u.
Electronic total energy: -26.85 eV for the cell shown
Spin magnetization: 0.00 μB/f.u.
Calculated volume: 15.99 Å³/atom
SG: Cmmm, No. 65
Formation energy: 777 meV per atom

Geometry as POSCAR:
```
AgAsOs2
1.0
-0.726 -2.460 -1.311
-0.089 0.124 2.876
-8.382 2.675 -0.376
Os As Ag
2 1 1
Direct
0.000 0.000 0.530 Os
0.000 0.000 0.970 Os
0.500 0.500 0.750 As
0.500 0.500 0.250 Ag
```

The following is a PBE calculation of a relaxed La7Pr2Cd2 crystal, from the Alexandria database.

D(E_F): 15.7 states/eV/f.u.
Electronic total energy: -45.72 eV for the cell shown
Spin magnetization: 0.00 μB/f.u.
Calculated volume: 34.71 Å³/atom
Polymorph energy (0 for the lowest one): 0.236 eV/f.u.
SG: C2/m, No. 12
Formation energy: 15 meV per atom

Geometry as POSCAR:
```
La7Pr2Cd2
1.0
7.989 0.934 1.348
-0.016 6.890 0.810
-0.016 -1.661 6.736
Pr La Cd
2 7 2
Direct
0.500 0.166 0.834 Pr
0.500 0.834 0.166 Pr
0.485 0.335 0.335 La
0.000 0.000 0.000 La
0.820 0.471 0.909 La
0.820 0.909 0.471 La
0.515 0.665 0.665 La
0.180 0.529 0.091 La
0.180 0.091 0.529 La
0.126 0.609 0.609 Cd
0.874 0.391 0.391 Cd
```

The following is a PBE calculation of a relaxed SnHg3Mo crystal, from the Alexandria database.

D(E_F): 2.4 states/eV/f.u.
Electronic total energy: -11.43 eV for the cell shown
Spin magnetization: 0.00 μB/f.u.
Calculated volume: 29.43 Å³/atom
Polymorph energy (0 for the lowest one): 0.000 eV/f.u.
SG: Pm-3m, No. 221
Formation energy: 861 meV per atom

Geometry as POSCAR:
```
SnHg3Mo
1.0
-3.190 -3.595 -2.184
2.452 0.639 -4.632
3.418 -3.813 1.284
Mo Hg Sn
1 3 1
Direct
0.000 0.000 0.000 Mo
0.000 0.000 0.500 Hg
0.500 0.000 0.000 Hg
0.000 0.500 0.000 Hg
0.500 0.500 0.500 Sn
```

The following is a PBE calculation of a relaxed FeRuAu crystal, from the Alexandria database.

D(E_F): 3.5 states/eV/f.u.
Electronic total energy: -20.23 eV for the cell shown
Spin magnetization: 2.25 μB/f.u.
Calculated volume: 14.75 Å³/atom
Polymorph energy (0 for the lowest one): 0.054 eV/f.u.
SG: P3m1, No. 156
Formation energy: 263 meV per atom

Geometry as POSCAR:
```
FeRuAu
1.0
-2.626 -0.375 -0.769
2.054 -0.868 -1.630
-0.058 -5.941 3.093
Fe Au Ru
1 1 1
Direct
0.333 0.667 0.349 Fe
0.000 0.000 0.009 Au
0.667 0.333 0.642 Ru
```

The following is a PBE calculation of a relaxed TiMn3P crystal, from the Alexandria database.

D(E_F): 2.8 states/eV/f.u.
Electronic total energy: -40.18 eV for the cell shown
Spin magnetization: 4.01 μB/f.u.
Calculated volume: 14.42 Å³/atom
Polymorph energy (0 for the lowest one): 0.000 eV/f.u.
SG: Pm-3m, No. 221
Formation energy: 127 meV per atom

Geometry as POSCAR:
```
TiMn3P
1.0
-2.606 -3.038 1.140
3.103 -1.904 2.017
-0.951 2.113 3.457
Mn Ti P
3 1 1
Direct
0.000 0.500 0.000 Mn
0.500 0.000 0.000 Mn
0.000 0.000 0.500 Mn
0.500 0.500 0.500 Ti
0.000 0.000 0.000 P
```

The following is a PBE calculation of a relaxed In2FeMoAs crystal, from the Alexandria database.

D(E_F): 3.3 states/eV/f.u.
Electronic total energy: -25.98 eV for the cell shown
Spin magnetization: 1.27 μB/f.u.
Calculated volume: 21.37 Å³/atom
SG: P4/mmm, No. 123
Formation energy: 688 meV per atom

Geometry as POSCAR:
```
In2FeMoAs
1.0
4.904 0.000 0.000
0.000 4.442 0.000
0.000 0.000 4.904
As Mo In Fe
1 1 2 1
Direct
0.500 0.500 0.500 As
0.000 0.500 0.000 Mo
0.000 0.000 0.500 In
0.500 0.000 0.000 In
0.000 0.000 0.000 Fe
```

The following is a PBE calculation of a relaxed Rb2PmNdO4 crystal, from the Alexandria database.

D(E_F): 0.0 states/eV/f.u.
Electronic total energy: -51.86 eV for the cell shown
ΔE_f (raw): -2.57 eV per atom
Spin magnetization: 0.00 μB/f.u.
Calculated volume: 19.10 Å³/atom
SG: P2/m, No. 10

Geometry as POSCAR:
```
Rb2PmNdO4
1.0
-0.490 -2.908 -2.156
4.002 -3.794 4.207
-3.749 -2.615 4.378
O Rb Nd Pm
4 2 1 1
Direct
0.500 0.319 0.729 O
0.000 0.680 0.775 O
0.500 0.681 0.271 O
0.000 0.320 0.225 O
0.500 0.000 0.500 Rb
0.000 0.000 0.000 Rb
0.000 0.500 0.500 Nd
0.500 0.500 0.000 Pm
```

The following is a PBE calculation of a relaxed Pr2Ni2Pd crystal, from the Alexandria database.

D(E_F): 3.5 states/eV/f.u.
Electronic total energy: -56.81 eV for the cell shown
Spin magnetization: 0.00 μB/f.u.
Calculated volume: 21.62 Å³/atom
Polymorph energy (0 for the lowest one): 0.259 eV/f.u.
SG: C2/m, No. 12
Formation energy: -418 meV per atom

Geometry as POSCAR:
```
Pr2Ni2Pd
1.0
4.180 0.000 0.000
2.090 5.363 -0.150
2.090 0.579 9.627
Pr Pd Ni
4 2 4
Direct
0.309 0.739 0.643 Pr
0.691 0.261 0.357 Pr
0.094 0.710 0.102 Pr
0.906 0.290 0.898 Pr
0.414 0.855 0.318 Pd
0.586 0.145 0.682 Pd
0.042 0.336 0.580 Ni
0.622 0.855 0.901 Ni
0.378 0.145 0.099 Ni
0.958 0.664 0.420 Ni
```

The following is a PBE calculation of a relaxed NaPRh crystal, from the Alexandria database.

D(E_F): 2.2 states/eV/f.u.
Electronic total energy: -31.14 eV for the cell shown
Spin magnetization: 0.00 μB/f.u.
Calculated volume: 21.81 Å³/atom
SG: R-3m, No. 166
Formation energy: -496 meV per atom

Geometry as POSCAR:
```
NaPRh
1.0
3.898 0.000 0.000
1.949 3.376 0.000
1.949 1.125 9.941
P Na Rh
2 2 2
Direct
0.215 0.215 0.354 P
0.785 0.785 0.646 P
0.612 0.612 0.164 Na
0.388 0.388 0.836 Na
0.137 0.137 0.590 Rh
0.863 0.863 0.410 Rh
```

The following is a PBE calculation of a relaxed CdCu2Pt9 crystal, from the Alexandria database.

D(E_F): 14.8 states/eV/f.u.
Electronic total energy: -65.03 eV for the cell shown
Spin magnetization: 0.00 μB/f.u.
Calculated volume: 15.43 Å³/atom
SG: P4/mmm, No. 123
Formation energy: -129 meV per atom

Geometry as POSCAR:
```
CdCu2Pt9
1.0
-1.228 -1.564 -3.416
3.714 0.039 -1.353
1.705 -10.885 4.371
Pt Cu Cd
9 2 1
Direct
0.000 0.500 0.177 Pt
0.500 0.500 0.662 Pt
0.500 0.000 0.823 Pt
0.000 0.500 0.500 Pt
0.500 0.500 0.000 Pt
0.500 0.500 0.338 Pt
0.500 0.000 0.500 Pt
0.000 0.500 0.823 Pt
0.500 0.000 0.177 Pt
0.000 0.000 0.661 Cu
0.000 0.000 0.339 Cu
0.000 0.000 0.000 Cd
```

The following is a PBE calculation of a relaxed NdErTeO6 crystal, from the Alexandria database.

D(E_F): 0.0 states/eV/f.u.
Electronic total energy: -128.62 eV for the cell shown
ΔE_f (raw): -2.45 eV per atom
Spin magnetization: 0.00 μB/f.u.
Calculated volume: 14.73 Å³/atom
SG: P-31c, No. 163

Geometry as POSCAR:
```
NdErTeO6
1.0
-5.341 -1.544 0.244
3.995 -3.543 1.568
-0.574 3.445 9.250
O Er Nd Te
12 2 2 2
Direct
0.622 0.961 0.861 O
0.039 0.378 0.639 O
0.622 0.662 0.639 O
0.338 0.378 0.861 O
0.378 0.039 0.139 O
0.338 0.961 0.639 O
0.662 0.622 0.139 O
0.039 0.662 0.861 O
0.961 0.338 0.139 O
0.662 0.039 0.361 O
0.961 0.622 0.361 O
0.378 0.338 0.361 O
0.333 0.667 0.250 Er
0.667 0.333 0.750 Er
0.000 0.000 0.500 Nd
0.000 0.000 0.000 Nd
0.667 0.333 0.250 Te
0.333 0.667 0.750 Te
```

The following is a PBE calculation of a relaxed RbLiTe2As crystal, from the Alexandria database.

D(E_F): 3.6 states/eV/f.u.
Electronic total energy: -31.62 eV for the cell shown
ΔE_f (raw): -0.40 eV per atom
Spin magnetization: 0.29 μB/f.u.
Calculated volume: 33.04 Å³/atom
SG: Cmme, No. 67

Geometry as POSCAR:
```
RbLiTe2As
1.0
7.082 0.000 0.000
0.000 5.619 0.000
0.000 -2.810 8.304
Te Rb Li As
4 2 2 2
Direct
0.291 0.387 0.773 Te
0.291 0.113 0.227 Te
0.709 0.613 0.227 Te
0.709 0.887 0.773 Te
0.233 0.750 0.500 Rb
0.767 0.250 0.500 Rb
0.500 0.250 0.000 Li
0.500 0.750 0.000 Li
0.000 0.000 0.000 As
0.000 0.500 0.000 As
```

The following is a PBE calculation of a relaxed Ca2Mg12Au7 crystal, from the Alexandria database.

D(E_F): 8.8 states/eV/f.u.
Electronic total energy: -57.62 eV for the cell shown
Spin magnetization: 0.00 μB/f.u.
Calculated volume: 21.50 Å³/atom
SG: P-6, No. 174
Formation energy: -550 meV per atom

Geometry as POSCAR:
```
Ca2Mg12Au7
1.0
4.272 0.000 0.000
0.000 9.568 -5.524
0.000 0.000 11.048
Mg Au Ca
12 7 2
Direct
0.000 0.454 0.508 Mg
0.000 0.281 0.049 Mg
0.500 0.241 0.793 Mg
0.500 0.377 0.281 Mg
0.000 0.951 0.232 Mg
0.500 0.719 0.097 Mg
0.000 0.054 0.546 Mg
0.000 0.492 0.946 Mg
0.500 0.552 0.759 Mg
0.000 0.768 0.719 Mg
0.500 0.903 0.623 Mg
0.500 0.207 0.448 Mg
0.500 0.460 0.084 Au
0.000 0.333 0.667 Au
0.000 0.048 0.794 Au
0.500 0.624 0.540 Au
0.500 0.916 0.376 Au
0.000 0.746 0.952 Au
0.000 0.206 0.254 Au
0.000 0.667 0.333 Ca
0.500 0.000 0.000 Ca
```

The following is a PBE calculation of a relaxed TiNi3Cl crystal, from the Alexandria database.

D(E_F): 3.0 states/eV/f.u.
Electronic total energy: -21.75 eV for the cell shown
ΔE_f (raw): 1.07 eV per atom
Spin magnetization: 0.00 μB/f.u.
Calculated volume: 17.83 Å³/atom
Polymorph energy (0 for the lowest one): 2.429 eV/f.u.
SG: Pm-3m, No. 221

Geometry as POSCAR:
```
TiNi3Cl
1.0
4.467 0.000 0.000
0.000 4.467 0.000
0.000 0.000 4.467
Ni Cl Ti
3 1 1
Direct
0.500 0.000 0.000 Ni
0.000 0.500 0.000 Ni
0.000 0.000 0.500 Ni
0.500 0.500 0.500 Cl
0.000 0.000 0.000 Ti
```

The following is a PBE calculation of a relaxed LiErHfCo crystal, from the Alexandria database.

D(E_F): 2.8 states/eV/f.u.
Electronic total energy: -23.70 eV for the cell shown
Spin magnetization: 0.00 μB/f.u.
Calculated volume: 17.87 Å³/atom
SG: F-43m, No. 216
Formation energy: -42 meV per atom

Geometry as POSCAR:
```
LiErHfCo
1.0
-1.675 3.722 -2.244
-2.923 2.906 2.169
1.421 4.273 1.192
Li Er Co Hf
1 1 1 1
Direct
0.000 0.000 0.000 Li
0.750 0.750 0.750 Er
0.500 0.500 0.500 Co
0.250 0.250 0.250 Hf
```

The following is a PBE calculation of a relaxed KV2N crystal, from the Alexandria database.

D(E_F): 6.3 states/eV/f.u.
Electronic total energy: -53.06 eV for the cell shown
ΔE_f (raw): 0.28 eV per atom
Spin magnetization: 5.70 μB/f.u.
Calculated volume: 22.79 Å³/atom
SG: Fd-3m, No. 227

Geometry as POSCAR:
```
KV2N
1.0
-1.818 5.463 2.711
1.665 -2.277 5.704
4.074 3.248 3.657
V N K
4 2 2
Direct
0.375 0.625 0.250 V
0.375 0.625 0.750 V
0.375 0.125 0.250 V
0.875 0.625 0.750 V
0.500 0.500 0.000 N
0.250 0.750 0.500 N
0.000 0.000 0.000 K
0.750 0.250 0.500 K
```